Entry from Alexandria via LeMat-Bulk: an optimized crystal structure of P2C (GGA-PBE).

a b c (Å): 5.2412 5.2412 5.2412
angles (deg): 90.00 90.00 90.00
Space group Pa-3 (No. 205)
Asymmetric unit:
P1 0.1214 0.1214 0.1214 (multiplicity 8)
C1 0.0000 0.0000 0.5000 (multiplicity 4)

## Properties
As for the electronic total energy: -5.2786 eV/atom. The total magnetization comes out at 0.00 μB per formula unit. As for the energy above the most stable polymorph in this dataset: 972 meV/atom. For the formation energy, the calculation gives 1403 meV/atom.